No. 1
This record from Alexandria describes a relaxed structure of BaSiPd. The functional is PBE-GGA.

Geometry as extended XYZ:
```
12
Lattice="6.744 0.000 0.000 0.000 6.744 0.000 0.000 0.000 6.744" Properties=species:S:1:pos:R:3 pbc="T T T"
Ba 0.899 0.899 0.899
Ba 2.473 5.845 4.271
Ba 4.271 2.473 5.845
Ba 5.845 4.271 2.473
Si 1.055 2.317 4.427
Si 2.317 4.427 1.055
Si 4.427 1.055 2.317
Si 5.689 5.689 5.689
Pd 0.636 4.008 6.108
Pd 2.736 2.736 2.736
Pd 4.008 6.108 0.636
Pd 6.108 0.636 4.008
```

Output
The calculation puts the total energy at -58.8 eV for the cell shown. Its uncorrected formation energy is -0.72 eV/atom. Its space-group type is P2_13.

***

No. 2
This record from Alexandria describes a relaxed structure of Ba2Si4Pd5. The functional is PBE-GGA.

Geometry as extended XYZ:
```
11
Lattice="0.000 5.583 6.593 3.101 0.000 6.593 3.101 5.583 0.000" Properties=species:S:1:pos:R:3 pbc="T T T"
Ba 3.101 5.583 1.872
Ba 3.101 5.583 11.314
Si 3.101 3.769 4.929
Si 3.101 3.769 8.256
Si 3.101 7.398 4.929
Si 3.101 7.398 8.256
Pd 1.551 2.792 0.000
Pd 1.551 2.792 3.296
Pd 1.551 2.792 6.593
Pd 3.101 5.583 6.593
Pd 4.652 8.375 9.889
```

Output
The calculation puts the total energy at -58.8 eV for the cell shown. Its uncorrected formation energy is -0.66 eV/atom. Its space-group type is Fmmm.

***

No. 3
This record from Alexandria describes a relaxed structure of BaSiPd4. The functional is PBE-GGA.

Geometry as extended XYZ:
```
12
Lattice="7.981 0.000 0.000 0.000 3.931 0.000 0.000 0.000 7.602" Properties=species:S:1:pos:R:3 pbc="T T T"
Ba 1.995 0.000 0.864
Ba 5.986 0.000 6.738
Si 1.995 0.000 5.130
Si 5.986 0.000 2.472
Pd 0.000 0.000 3.801
Pd 0.576 1.966 5.815
Pd 1.995 1.966 3.395
Pd 3.415 1.966 5.815
Pd 3.991 0.000 3.801
Pd 4.566 1.966 1.787
Pd 5.986 1.966 4.207
Pd 7.405 1.966 1.787
```

Output
The calculation puts the total energy at -62.7 eV for the cell shown. Its uncorrected formation energy is -0.54 eV/atom. Its space-group type is Pmma.

***

No. 4
This record from Alexandria describes a relaxed structure of BaSi2Pd3. The functional is PBE-GGA.

Geometry as extended XYZ:
```
12
Lattice="7.658 -2.102 0.000 7.658 2.102 0.000 -2.949 0.000 7.272" Properties=species:S:1:pos:R:3 pbc="T T T"
Ba 2.319 0.000 0.539
Ba 10.047 0.000 6.733
Si 0.752 0.000 4.462
Si 4.942 0.000 6.054
Si 7.424 0.000 1.218
Si 11.614 0.000 2.810
Pd -0.530 0.000 2.459
Pd 3.199 0.000 4.209
Pd 5.236 0.000 2.363
Pd 7.129 0.000 4.909
Pd 9.167 0.000 3.063
Pd 12.896 0.000 4.813
```

Output
The calculation puts the total energy at -64.6 eV for the cell shown. Its uncorrected formation energy is -0.66 eV/atom. Its space-group type is C2/m.

***

No. 5
This record from Alexandria describes a relaxed structure of BaSiPd2. The functional is PBE-GGA.

Geometry as extended XYZ:
```
4
Lattice="2.155 1.244 5.773 -2.155 1.244 5.773 0.000 -2.489 5.773" Properties=species:S:1:pos:R:3 pbc="T T T"
Ba 0.000 0.000 0.000
Si 0.000 0.000 8.659
Pd 0.000 0.000 3.428
Pd 0.000 0.000 13.890
```

Output
The calculation puts the total energy at -20.4 eV for the cell shown. Its uncorrected formation energy is -0.67 eV/atom. Its space-group type is R-3m.

***

No. 6
This record from Alexandria describes a relaxed structure of BaSi2Pd2. The functional is PBE-GGA.

Geometry as extended XYZ:
```
10
Lattice="8.066 0.000 0.000 0.000 8.066 0.000 0.000 0.000 3.148" Properties=species:S:1:pos:R:3 pbc="T T T"
Ba 0.000 0.000 0.000
Ba 4.033 4.033 0.000
Si 1.051 2.982 1.574
Si 2.982 7.015 1.574
Si 5.084 1.051 1.574
Si 7.015 5.084 1.574
Pd 0.983 5.016 0.000
Pd 3.050 0.983 0.000
Pd 5.016 7.082 0.000
Pd 7.082 3.050 0.000
```

Output
The calculation puts the total energy at -48.5 eV for the cell shown. Its uncorrected formation energy is -0.21 eV/atom. Its space-group type is P4/mbm.